Material: NpUOs2
Method: DFT, PBE
State: optimized geometry

## Properties
Total magnetic moment ... 4.63 μB per formula unit
Calculated density ... 18.33 g cm⁻³
Energy above the most stable polymorph in this dataset ... 0.026 eV per atom
Space group ... Fm-3m (225)
E_form ... 0.11 eV/atom
Fermi-level density of states ... 8.1 states/eV per cell
DFT total energy ... -46.3 eV per formula unit

Unit cell a=4.7852 b=4.7852 c=4.7852 alpha=60.00 beta=60.00 gamma=60.00
Fractional positions:
Os: 0.7500 0.7500 0.7500
Os: 0.2500 0.2500 0.2500
U: 0.5000 0.5000 0.5000
Np: 0.0000 0.0000 0.0000

***

Material: NpUOs
Method: DFT, PBE
State: optimized geometry

## Properties
Total magnetic moment ... 0.00 μB per formula unit
Calculated density ... 19.58 g cm⁻³
Energy above the most stable polymorph in this dataset ... 0.315 eV per atom
Space group ... P3m1 (156)
E_form ... 0.26 eV/atom
Fermi-level density of states ... 5.8 states/eV per cell
DFT total energy ... -34.7 eV per formula unit

Unit cell a=3.3295 b=3.3295 c=5.8779 alpha=90.00 beta=90.00 gamma=120.00
Fractional positions:
U: 0.6667 0.3333 0.3089
Os: 0.3333 0.6667 0.6745
Np: 0.0000 0.0000 0.0166

***

Material: NpUOs
Method: DFT, PBE
State: optimized geometry

## Properties
Total magnetic moment ... 0.00 μB per formula unit
Calculated density ... 20.55 g cm⁻³
Energy above the most stable polymorph in this dataset ... 0.066 eV per atom
Space group ... I4mm (107)
E_form ... 0.01 eV/atom
Fermi-level density of states ... 5.6 states/eV per cell
DFT total energy ... -35.4 eV per formula unit

Unit cell a=3.3046 b=3.3046 c=5.4487 alpha=107.65 beta=107.65 gamma=90.00
Fractional positions:
Os: 0.6177 0.6177 0.2354
U: 0.9302 0.9302 0.8604
Np: 0.3021 0.3021 0.6042

***

Material: NpUOs
Method: DFT, PBE
State: optimized geometry

## Properties
Total magnetic moment ... 0.00 μB per formula unit
Calculated density ... 20.34 g cm⁻³
Energy above the most stable polymorph in this dataset ... 0.000 eV per atom
Space group ... C2/m (12)
E_form ... -0.06 eV/atom
Fermi-level density of states ... 11.6 states/eV per cell
DFT total energy ... -35.6 eV per formula unit

Unit cell a=4.3840 b=4.7617 c=5.8682 alpha=87.69 beta=90.00 gamma=62.59
Fractional positions:
U: 0.9990 0.3304 0.9862
Os: 0.6633 0.0016 0.1499
U: 0.3162 0.6959 0.8062
Os: 0.6519 0.0247 0.6425
Np: 0.9807 0.3669 0.4323
Np: 0.3345 0.6594 0.3600

***

Material: NpUOs
Method: DFT, PBE
State: optimized geometry

## Properties
Total magnetic moment ... 2.23 μB per formula unit
Calculated density ... 18.17 g cm⁻³
Energy above the most stable polymorph in this dataset ... 0.577 eV per atom
Space group ... P4/nmm (129)
E_form ... 0.52 eV/atom
Fermi-level density of states ... 13.6 states/eV per cell
DFT total energy ... -33.9 eV per formula unit

Unit cell a=4.4153 b=4.4158 c=6.2348 alpha=90.00 beta=90.00 gamma=90.00
Fractional positions:
U: 0.5000 0.5000 0.5001
Os: 0.0000 0.0000 0.0000
U: 0.0000 0.0000 0.4999
Os: 0.5000 0.5000 0.0000
Np: 0.0000 0.5000 0.2565
Np: 0.5000 0.0000 0.7435

***

Material: NpUVOs
Method: DFT, PBE
State: optimized geometry

## Properties
Total magnetic moment ... 4.32 μB per formula unit
Calculated density ... 17.32 g cm⁻³
Space group ... F-43m (216)
E_form ... 0.03 eV/atom
Fermi-level density of states ... 7.2 states/eV per cell
DFT total energy ... -44.5 eV per formula unit

Unit cell a=4.5960 b=4.5960 c=4.5960 alpha=60.00 beta=60.00 gamma=60.00
Fractional positions:
U: 0.5000 0.5000 0.5000
Os: 0.7500 0.7500 0.7500
V: 0.0000 0.0000 0.0000
Np: 0.2500 0.2500 0.2500

***

Material: NpUOsW
Method: DFT, PBE
State: optimized geometry

## Properties
Total magnetic moment ... 3.73 μB per formula unit
Calculated density ... 19.70 g cm⁻³
Space group ... F-43m (216)
E_form ... 0.19 eV/atom
Fermi-level density of states ... 8.1 states/eV per cell
DFT total energy ... -47.7 eV per formula unit

Unit cell a=4.6606 b=4.6606 c=4.6606 alpha=60.00 beta=60.00 gamma=60.00
Fractional positions:
Np: 0.7500 0.7500 0.7500
U: 0.5000 0.5000 0.5000
W: 0.2500 0.2500 0.2500
Os: 0.0000 0.0000 0.0000

***

Material: NpVOsW
Method: DFT, PBE
State: optimized geometry

## Properties
Total magnetic moment ... 3.14 μB per formula unit
Calculated density ... 16.80 g cm⁻³
Space group ... F-43m (216)
E_form ... 0.34 eV/atom
Fermi-level density of states ... 8.5 states/eV per cell
DFT total energy ... -44.9 eV per formula unit

Unit cell a=4.5228 b=4.5228 c=4.5228 alpha=60.00 beta=60.00 gamma=60.00
Fractional positions:
W: 0.0000 0.0000 0.0000
Os: 0.7500 0.7500 0.7500
V: 0.5000 0.5000 0.5000
Np: 0.2500 0.2500 0.2500

***

Repeat the second record exactly.
Material: NpUOs
Method: DFT, PBE
State: optimized geometry

## Properties
Total magnetic moment ... 0.00 μB per formula unit
Calculated density ... 19.58 g cm⁻³
Energy above the most stable polymorph in this dataset ... 0.315 eV per atom
Space group ... P3m1 (156)
E_form ... 0.26 eV/atom
Fermi-level density of states ... 5.8 states/eV per cell
DFT total energy ... -34.7 eV per formula unit

Unit cell a=3.3295 b=3.3295 c=5.8779 alpha=90.00 beta=90.00 gamma=120.00
Fractional positions:
U: 0.6667 0.3333 0.3089
Os: 0.3333 0.6667 0.6745
Np: 0.0000 0.0000 0.0166